# 1
Material: AlP2F
Method: DFT, PBE
State: relaxed

a b c (Å): 6.008 6.008 6.008
angles (deg): 90.00 90.00 90.00
Space group Fm-3m (No. 225)
Asymmetric unit:
Al  0.000  0.000  0.000 x4
P  0.250  0.250  0.250 x8
F  0.000  0.000  0.500 x4

=====

# 2
Material: AlPF2
Method: DFT, PBE
State: relaxed

a b c (Å): 2.8199 2.8199 30.9144
angles (deg): 90.00 90.00 120.00
Space group R-3m (No. 166, hexagonal axes)
Asymmetric unit:
Al  0.0000  0.0000  0.0000 x3
P  0.0000  0.0000  0.5000 x3
F  0.0000  0.0000  0.3750 x6

=====

We obtain spin magnetization values of 0.00; 1.87 μB per cell for the records listed above, in that order.
We obtain E_form (uncorrected) values of -0.21; -1.17 eV per atom for the records listed above, in that order.